[1]
Entry from Alexandria via LeMat-Bulk: a geometry-optimized Cu4Sb structure (PBE).

abc: 5.007 5.007 5.007
angles: 109.47 109.47 109.47
Sites, in units of the cell vectors:
Cu (0.000, 0.000, 0.500)
Cu (0.000, 0.500, 0.000)
Cu (0.500, 0.000, 0.000)
Cu (0.500, 0.500, 0.500)
Sb (0.000, 0.000, 0.000)

Properties
DOS at the Fermi energy = 1.5 states/eV/f.u.
total DFT energy (no corrections) = -3.567 eV per atom
ΔE to the lowest computed polymorph = 458 meV per atom

[2]
Entry from Alexandria via LeMat-Bulk: a geometry-optimized CuSb5 structure (PBE).

abc: 6.093 6.093 5.516
angles: 90.00 90.00 120.00
Sites, in units of the cell vectors:
Cu (0.000, 0.000, 0.000)
Sb (0.000, 0.500, 0.500)
Sb (0.333, 0.667, 0.000)
Sb (0.500, 0.000, 0.500)
Sb (0.500, 0.500, 0.500)
Sb (0.667, 0.333, 0.000)

Properties
DOS at the Fermi energy = 2.3 states/eV/f.u.
total DFT energy (no corrections) = -3.542 eV per atom
ΔE to the lowest computed polymorph = 422 meV per atom

[3]
Entry from Alexandria via LeMat-Bulk: a geometry-optimized CuSb3 structure (PBE).

abc: 4.023 4.036 6.178
angles: 90.00 90.00 90.00
Sites, in units of the cell vectors:
Cu (0.000, 0.000, 0.000)
Sb (0.000, 0.500, 0.368)
Sb (0.500, 0.000, 0.640)
Sb (0.500, 0.500, 0.005)

Properties
DOS at the Fermi energy = 1.4 states/eV/f.u.
total DFT energy (no corrections) = -3.877 eV per atom
ΔE to the lowest computed polymorph = 135 meV per atom

[4]
Entry from Alexandria via LeMat-Bulk: a geometry-optimized CuSb4 structure (PBE).

abc: 5.117 5.117 5.117
angles: 90.00 90.00 90.00
Sites, in units of the cell vectors:
Cu (0.000, 0.000, 0.000)
Sb (0.000, 0.000, 0.500)
Sb (0.000, 0.500, 0.000)
Sb (0.500, 0.000, 0.000)
Sb (0.500, 0.500, 0.500)

Properties
DOS at the Fermi energy = 4.1 states/eV/f.u.
total DFT energy (no corrections) = -3.678 eV per atom